*P*
BaCd3Au3 after structural relaxation. Source: the Alexandria database, functional PBE-GGA.

Unit cell a=7.3702 b=7.3702 c=8.7574 alpha=65.12 beta=65.12 gamma=60.00
Closest atoms and distances in Å follow each position.
Fractional coordinates of all 14 atoms:
Au1 0.7031 0.9070 0.2393  4 Cd 2.83-2.96, 2 Au 2.86
Au2 0.8494 0.2969 0.7607  4 Cd 2.83-2.96, 2 Au 2.86
Au3 0.0930 0.8494 0.7607  4 Cd 2.83-2.96, 2 Au 2.86
Au4 0.2969 0.0930 0.7607  4 Cd 2.83-2.96, 2 Au 2.86
Au5 0.1506 0.7031 0.2393  4 Cd 2.83-2.96, 2 Au 2.86
Au6 0.9070 0.1506 0.2393  4 Cd 2.83-2.96, 2 Au 2.86
Ba1 0.6606 0.6606 0.0182  6 Au 3.34-3.59, 6 Cd 3.61-3.69
Ba2 0.3394 0.3394 0.9818  6 Au 3.34-3.59, 6 Cd 3.61-3.69
Cd1 0.2765 0.9146 0.3782  4 Au 2.83-2.96, 2 Cd 3.08
Cd2 0.7235 0.0854 0.6218  4 Au 2.83-2.96, 2 Cd 3.08
Cd3 0.9146 0.4307 0.3782  4 Au 2.83-2.96, 2 Cd 3.08
Cd4 0.0854 0.5693 0.6218  4 Au 2.83-2.96, 2 Cd 3.08
Cd5 0.5693 0.7235 0.6218  4 Au 2.83-2.96, 2 Cd 3.08
Cd6 0.4307 0.2765 0.3782  4 Au 2.83-2.96, 2 Cd 3.08

Results
Volume = 25.7 Å³/atom

*Q*
BaCd3Au3 after structural relaxation. Source: the Alexandria database, functional PBE-GGA.

Unit cell a=7.6566 b=7.6566 c=7.6566 alpha=90.00 beta=90.00 gamma=90.00
Closest atoms and distances in Å follow each position.
Fractional coordinates of all 14 atoms:
Cd1 0.5000 0.0000 0.2500  4 Au 2.71
Cd2 0.7500 0.5000 0.0000  4 Au 2.71
Cd3 0.5000 0.0000 0.7500  4 Au 2.71
Cd4 0.0000 0.7500 0.5000  4 Au 2.71
Cd5 0.2500 0.5000 0.0000  4 Au 2.71
Cd6 0.0000 0.2500 0.5000  4 Au 2.71
Ba1 0.5000 0.5000 0.5000  12 Cd 4.28, 12 Au 4.28
Ba2 0.0000 0.0000 0.0000  12 Cd 4.28, 12 Au 4.28
Au1 0.7500 0.0000 0.5000  4 Cd 2.71
Au2 0.2500 0.0000 0.5000  4 Cd 2.71
Au3 0.0000 0.5000 0.7500  4 Cd 2.71
Au4 0.0000 0.5000 0.2500  4 Cd 2.71
Au5 0.5000 0.2500 0.0000  4 Cd 2.71
Au6 0.5000 0.7500 0.0000  4 Cd 2.71

Results
Volume = 32.1 Å³/atom

Most stable: *P*. Least stable: *Q*.

*P*
Al2TlRu after structural relaxation. Source: the Alexandria database, functional PBE-GGA.

Unit cell a=5.0489 b=5.0489 c=5.0489 alpha=133.41 beta=133.41 gamma=68.01
Closest atoms and distances in Å follow each position.
Fractional coordinates of all 4 atoms:
Ru1 0.5000 0.5000 0.0000  8 Al 2.82-2.89, 4 Tl 2.89
Al1 0.2500 0.7500 0.5000  4 Tl 2.82, 4 Ru 2.89, 4 Al 2.89
Al2 0.0000 0.0000 0.0000  4 Ru 2.82, 4 Tl 2.89, 4 Al 2.89
Tl1 0.7500 0.2500 0.5000  8 Al 2.82-2.89, 4 Ru 2.89

Results
Volume = 16.7 Å³/atom

*Q*
Al2TlRu after structural relaxation. Source: the Alexandria database, functional PBE-GGA.

Unit cell a=4.5896 b=4.5896 c=4.5896 alpha=60.00 beta=60.00 gamma=60.00
Closest atoms and distances in Å follow each position.
Fractional coordinates of all 4 atoms:
Al1 0.7500 0.7500 0.7500  4 Tl 2.81, 4 Ru 2.81
Al2 0.2500 0.2500 0.2500  4 Tl 2.81, 4 Ru 2.81
Tl1 0.5000 0.5000 0.5000  8 Al 2.81
Ru1 0.0000 0.0000 0.0000  8 Al 2.81

Results
Volume = 17.1 Å³/atom

Most stable: *P*. Least stable: *Q*.

*P*
Al2AsP after structural relaxation. Source: the Alexandria database, functional PBE-GGA.

Unit cell a=2.8260 b=2.8260 c=9.0706 alpha=90.00 beta=90.00 gamma=90.00
Closest atoms and distances in Å follow each position.
Fractional coordinates of all 4 atoms:
As1 0.0000 0.0000 0.4511  4 As 2.83, 4 Al 2.87
Al1 0.0000 0.0000 0.0082  4 P 2.65, 8 Al 2.80-2.83
Al2 0.5000 0.5000 0.2243  8 Al 2.80-2.83, 4 As 2.87
P1 0.5000 0.5000 0.8164  4 Al 2.65, 4 P 2.83

Results
Volume = 18.1 Å³/atom

*Q*
Al2AsP after structural relaxation. Source: the Alexandria database, functional PBE-GGA.

Unit cell a=4.8709 b=4.8709 c=4.8709 alpha=136.66 beta=109.07 gamma=86.91
Closest atoms and distances in Å follow each position.
Fractional coordinates of all 4 atoms:
Al1 0.9870 0.9870 0.0000  2 P 2.46, 2 As 2.59
Al2 0.5130 0.5130 0.0000  2 P 2.46, 2 As 2.59
P1 0.7500 0.2500 0.5000  4 Al 2.46
As1 0.2500 0.7500 0.5000  4 Al 2.59

Results
Volume = 18.0 Å³/atom

Most stable: *Q*. Least stable: *P*.

*P*
AlCu2P after structural relaxation. Source: the Alexandria database, functional PBE-GGA.

Unit cell a=2.7291 b=2.7291 c=7.2823 alpha=90.00 beta=90.00 gamma=89.94
Closest atoms and distances in Å follow each position.
Fractional coordinates of all 4 atoms:
Cu1 0.0000 0.0000 0.0054  4 Al 2.58, 8 Cu 2.61-2.73
Cu2 0.5000 0.5000 0.2465  4 P 2.56, 8 Cu 2.61-2.73
P1 0.0000 0.0000 0.4771  4 Cu 2.56, 4 P 2.73
Al1 0.5000 0.5000 0.7710  4 Cu 2.58, 4 Al 2.73, 4 P 2.88

Results
Volume = 13.6 Å³/atom

*Q*
AlCu2P after structural relaxation. Source: the Alexandria database, functional PBE-GGA.

Unit cell a=4.2819 b=4.2819 c=4.2819 alpha=60.00 beta=60.00 gamma=60.00
Closest atoms and distances in Å follow each position.
Fractional coordinates of all 4 atoms:
Al1 0.5000 0.5000 0.5000  4 P 2.62, 4 Cu 2.62
Cu1 0.0000 0.0000 0.0000  4 P 2.62, 4 Cu 2.62
Cu2 0.2500 0.2500 0.2500  4 Al 2.62, 4 Cu 2.62
P1 0.7500 0.7500 0.7500  4 Al 2.62, 4 Cu 2.62

Results
Volume = 13.9 Å³/atom

Most stable: *P*. Least stable: *Q*.